1.
Below is Zr3CdH after structural relaxation, with properties calculated at the PBE-GGA level.

Cell: 4.412 4.412 9.393 Å, 90.00 90.00 90.00°
Space group I4mm (No. 107)
Symmetry-distinct sites (fractional):
1 Zr 0.000 0.000 0.000
2 Zr 0.000 0.500 0.254
3 Cd 0.000 0.000 0.497
4 H 0.000 0.000 0.780

Properties
E above lowest polymorph ... 29 meV/atom
DOS(E_F) ... 0.40 states/eV/atom

---

2.
Below is KZrP2 after structural relaxation, with properties calculated at the PBE-GGA level.

Cell: 6.771 6.771 6.771 Å, 90.00 90.00 90.00°
Space group F-43m (No. 216)
Symmetry-distinct sites (fractional):
1 K 0.000 0.000 0.000
2 Zr 0.250 0.250 0.250
3 P 0.000 0.000 0.500
4 P 0.250 0.250 0.750

Properties
E above lowest polymorph ... 1164 meV/atom
DOS(E_F) ... 1.22 states/eV/atom

---

3.
Below is NdTm2N after structural relaxation, with properties calculated at the PBE-GGA level.

Cell: 3.143 3.143 8.843 Å, 90.00 90.00 90.00°
Space group P4/mmm (No. 123)
Symmetry-distinct sites (fractional):
1 Nd 0.000 0.000 0.000
2 Tm 0.500 0.500 0.342
3 N 0.000 0.000 0.500

Properties
Uncorrected formation energy ... -0.198 eV/atom
E above lowest polymorph ... 535 meV/atom
DOS(E_F) ... 1.11 states/eV/atom

---

4.
Below is Sr2Si2Ru after structural relaxation, with properties calculated at the PBE-GGA level.

Cell: 8.875 8.875 3.302 Å, 90.00 90.00 90.00°
Space group P4/mbm (No. 127)
Symmetry-distinct sites (fractional):
1 Sr 0.203 0.297 0.000
2 Si 0.091 0.591 0.500
3 Ru 0.000 0.000 0.000

Properties
Uncorrected formation energy ... 0.588 eV/atom
DOS(E_F) ... 0.69 states/eV/atom

---

5.
Below is Be2TcHg after structural relaxation, with properties calculated at the PBE-GGA level.

Cell: 3.988 3.988 3.198 Å, 90.00 90.00 90.00°
Space group P4/mmm (No. 123)
Symmetry-distinct sites (fractional):
1 Be 0.000 0.500 0.000
2 Tc 0.000 0.000 0.500
3 Hg 0.500 0.500 0.500

Properties
VASP energy ... -4.36 eV/atom
DOS(E_F) ... 0.64 states/eV/atom

---

6.
Below is PuScS2N after structural relaxation, with properties calculated at the PBE-GGA level.

Cell: 3.728 3.728 13.138 Å, 90.00 90.00 90.00°
Space group P4/nmm (No. 129, origin choice 2)
Symmetry-distinct sites (fractional):
1 Pu 0.250 0.250 0.091
2 Sc 0.250 0.250 0.613
3 S 0.250 0.250 0.407
4 S 0.250 0.250 0.799
5 N 0.250 0.750 0.000

Properties
Uncorrected formation energy ... -1.624 eV/atom
DOS(E_F) ... 1.12 states/eV/atom

---

7.
Below is ReOs3F after structural relaxation, with properties calculated at the PBE-GGA level.

Cell: 4.757 4.757 4.757 Å, 90.00 90.00 90.00°
Space group Pm-3m (No. 221)
Symmetry-distinct sites (fractional):
1 Re 0.000 0.000 0.000
2 Os 0.000 0.000 0.500
3 F 0.500 0.500 0.500

Properties
Uncorrected formation energy ... 2.287 eV/atom
E above lowest polymorph ... 669 meV/atom
DOS(E_F) ... 0.97 states/eV/atom

---

8.
Below is Dy2IrS after structural relaxation, with properties calculated at the PBE-GGA level.

Cell: 3.8899 3.8899 20.8465 Å, 90.00 90.00 120.00°
Space group R-3m (No. 166, hexagonal axes)
Symmetry-distinct sites (fractional):
1 Dy 0.0000 0.0000 0.2468
2 Ir 0.0000 0.0000 0.5000
3 S 0.0000 0.0000 0.0000

Properties
Uncorrected formation energy ... -1.304 eV/atom
E above lowest polymorph ... 0 meV/atom
DOS(E_F) ... 0.49 states/eV/atom

---

9.
Below is MgCu2S2O8 after structural relaxation, with properties calculated at the PBE-GGA level.

Cell: 5.968 8.389 8.947 Å, 90.00 131.22 90.00°
Space group P2_1/c (No. 14)
Symmetry-distinct sites (fractional):
1 Mg 0.000 0.000 0.000
2 Cu 0.435 0.207 0.586
3 S 0.004 0.628 0.834
4 O 0.145 0.241 0.613
5 O 0.213 0.117 0.895
6 O 0.248 0.747 0.400
7 O 0.393 0.531 0.770

Properties
Uncorrected formation energy ... -0.953 eV/atom
DOS(E_F) ... 0.38 states/eV/atom

---

10.
Below is Ac3La4In2 after structural relaxation, with properties calculated at the PBE-GGA level.

Cell: 5.778 6.876 9.399 Å, 103.20 90.01 114.80°
Space group P-1 (No. 2)
Symmetry-distinct sites (fractional):
1 Ac 0.000 0.000 0.000
2 Ac 0.454 0.909 0.676
3 La 0.138 0.275 0.612
4 La 0.294 0.590 0.966
5 In 0.233 0.467 0.297

Properties
VASP energy ... -4.36 eV/atom
DOS(E_F) ... 1.38 states/eV/atom

---

11.
Below is Al2HgTeW after structural relaxation, with properties calculated at the PBE-GGA level.

Cell: 4.832 4.832 5.534 Å, 90.00 90.00 90.00°
Space group P4/mmm (No. 123)
Symmetry-distinct sites (fractional):
1 Al 0.000 0.500 0.000
2 Hg 0.000 0.000 0.000
3 Te 0.500 0.500 0.500
4 W 0.000 0.000 0.500

Properties
Uncorrected formation energy ... 1.281 eV/atom
E above lowest polymorph ... 826 meV/atom
DOS(E_F) ... 0.44 states/eV/atom

---

12.
Below is CaYZr after structural relaxation, with properties calculated at the PBE-GGA level.

Cell: 7.629 7.629 7.629 Å, 90.00 90.00 90.00°
Space group F-43m (No. 216)
Symmetry-distinct sites (fractional):
1 Ca 0.000 0.000 0.000
2 Y 0.000 0.000 0.500
3 Zr 0.250 0.250 0.750

Properties
E above lowest polymorph ... 813 meV/atom
DOS(E_F) ... 2.53 states/eV/atom

---

13.
Below is YSc3Se4 after structural relaxation, with properties calculated at the PBE-GGA level.

Cell: 7.900 11.122 3.913 Å, 90.00 90.00 90.00°
Space group Cmmm (No. 65)
Symmetry-distinct sites (fractional):
1 Y 0.000 0.000 0.000
2 Sc 0.000 0.500 0.000
3 Sc 0.250 0.250 0.500
4 Se 0.000 0.256 0.000
5 Se 0.239 0.500 0.500

Properties
Uncorrected formation energy ... -1.624 eV/atom
DOS(E_F) ... 0.67 states/eV/atom

---

14.
Below is TcWAu2 after structural relaxation, with properties calculated at the PBE-GGA level.

Cell: 2.750 2.750 8.671 Å, 90.00 90.00 90.00°
Space group P4/mmm (No. 123)
Symmetry-distinct sites (fractional):
1 Tc 0.000 0.000 0.000
2 W 0.000 0.000 0.500
3 Au 0.500 0.500 0.249

Properties
E above lowest polymorph ... 189 meV/atom
DOS(E_F) ... 0.88 states/eV/atom

---

15.
Below is AlCuBr2 after structural relaxation, with properties calculated at the PBE-GGA level.

Cell: 7.324 7.324 7.940 Å, 90.00 90.00 90.00°
Space group I-42d (No. 122)
Symmetry-distinct sites (fractional):
1 Al 0.000 0.000 0.000
2 Cu 0.000 0.000 0.500
3 Br 0.184 0.250 0.625

Properties
Uncorrected formation energy ... -0.131 eV/atom
E above lowest polymorph ... 234 meV/atom
DOS(E_F) ... 0.00 states/eV/atom

---

16.
Below is K2YTc after structural relaxation, with properties calculated at the PBE-GGA level.

Cell: 3.041 3.041 12.942 Å, 90.00 90.00 90.00°
Space group P4/mmm (No. 123)
Symmetry-distinct sites (fractional):
1 K 0.000 0.000 0.210
2 Y 0.500 0.500 0.500
3 Tc 0.500 0.500 0.000

Properties
E above lowest polymorph ... 646 meV/atom
DOS(E_F) ... 1.13 states/eV/atom

---

17.
Below is PuPaTe2N after structural relaxation, with properties calculated at the PBE-GGA level.

Cell: 4.133 4.133 14.805 Å, 90.00 90.00 90.00°
Space group P4/nmm (No. 129, origin choice 2)
Symmetry-distinct sites (fractional):
1 Pu 0.250 0.250 0.088
2 Pa 0.250 0.250 0.573
3 Te 0.250 0.250 0.313
4 Te 0.250 0.250 0.870
5 N 0.250 0.750 0.500

Properties
Uncorrected formation energy ... -1.272 eV/atom
DOS(E_F) ... 2.27 states/eV/atom

---

18.
Below is CsBaErI6 after structural relaxation, with properties calculated at the PBE-GGA level.

Cell: 8.5709 8.5709 16.2616 Å, 90.00 90.00 120.00°
Space group P-31c (No. 163)
Symmetry-distinct sites (fractional):
1 Cs 0.0000 0.0000 0.0000
2 Ba 0.3333 0.6667 0.2500
3 Er 0.3333 0.6667 0.7500
4 I 0.0389 0.3907 0.6400

Properties
Uncorrected formation energy ... -1.560 eV/atom
DOS(E_F) ... 0.00 states/eV/atom

---

19.
Below is GaAg2Sb after structural relaxation, with properties calculated at the PBE-GGA level.

Cell: 4.347 4.347 18.417 Å, 90.00 90.00 90.00°
Space group I-42d (No. 122)
Symmetry-distinct sites (fractional):
1 Ga 0.000 0.000 0.000
2 Ag 0.227 0.250 0.125
3 Sb 0.000 0.000 0.500

Properties
Uncorrected formation energy ... 0.110 eV/atom
E above lowest polymorph ... 18 meV/atom
DOS(E_F) ... 0.44 states/eV/atom

---

20.
Below is La2TmZn2 after structural relaxation, with properties calculated at the PBE-GGA level.

Cell: 3.644 20.086 3.590 Å, 90.00 90.00 90.00°
Space group Cmmm (No. 65)
Symmetry-distinct sites (fractional):
1 La 0.000 0.179 0.000
2 Tm 0.000 0.000 0.000
3 Zn 0.000 0.421 0.500

Properties
VASP energy ... -3.59 eV/atom
DOS(E_F) ... 1.01 states/eV/atom

---

21.
Below is La4Pr3Ho4 after structural relaxation, with properties calculated at the PBE-GGA level.

Cell: 10.885 5.836 12.138 Å, 90.00 90.00 90.00°
Space group Amm2 (No. 38)
Symmetry-distinct sites (fractional):
1 La 0.000 0.000 0.000
2 La 0.209 0.000 0.802
3 La 0.500 0.000 0.920
4 Pr 0.000 0.000 0.293
5 Pr 0.291 0.000 0.454
6 Ho 0.000 0.000 0.597
7 Ho 0.307 0.000 0.149
8 Ho 0.500 0.000 0.647

Properties
E above lowest polymorph ... 125 meV/atom
DOS(E_F) ... 1.67 states/eV/atom

---

22.
Below is SrDy2F7 after structural relaxation, with properties calculated at the PBE-GGA level.

Cell: 7.064 11.097 4.251 Å, 90.00 90.00 90.00°
Space group Cmmm (No. 65)
Symmetry-distinct sites (fractional):
1 Sr 0.000 0.000 0.000
2 Dy 0.000 0.308 0.500
3 F 0.000 0.242 0.000
4 F 0.000 0.500 0.500
5 F 0.187 0.137 0.500

Properties
Uncorrected formation energy ... -3.788 eV/atom
DOS(E_F) ... 0.14 states/eV/atom

---

23.
Below is Tb2CoSe after structural relaxation, with properties calculated at the PBE-GGA level.

Cell: 3.473 3.473 7.093 Å, 90.00 90.00 90.00°
Space group P4/mmm (No. 123)
Symmetry-distinct sites (fractional):
1 Tb 0.000 0.000 0.232
2 Co 0.500 0.500 0.000
3 Se 0.500 0.500 0.500

Properties
Uncorrected formation energy ... -0.762 eV/atom
E above lowest polymorph ... 208 meV/atom
DOS(E_F) ... 0.52 states/eV/atom

---

24.
Below is SrCrCu after structural relaxation, with properties calculated at the PBE-GGA level.

Cell: 7.185 7.185 7.185 Å, 90.00 90.00 90.00°
Space group F-43m (No. 216)
Symmetry-distinct sites (fractional):
1 Sr 0.000 0.000 0.000
2 Cr 0.250 0.250 0.750
3 Cu 0.250 0.250 0.250

Properties
E above lowest polymorph ... 651 meV/atom
DOS(E_F) ... 0.37 states/eV/atom

---

25.
Below is MnCuW3 after structural relaxation, with properties calculated at the PBE-GGA level.

Cell: 4.501 4.501 4.501 Å, 90.00 90.00 90.00°
Space group Pm-3m (No. 221)
Symmetry-distinct sites (fractional):
1 Mn 0.000 0.000 0.000
2 Cu 0.500 0.500 0.500
3 W 0.000 0.500 0.500

Properties
E above lowest polymorph ... 405 meV/atom
DOS(E_F) ... 1.05 states/eV/atom